Record 1
Entry from Alexandria via LeMat-Bulk: an optimized crystal structure of NaCe2Mg (PBE).

```
12
Lattice="3.098 0.000 0.000 -1.549 2.683 0.000 0.000 0.000 38.403" Properties=species:S:1:pos:R:3 pbc="T T T"
Na 0.000 0.000 0.000
Na 0.000 1.789 25.602
Na 1.549 0.894 12.801
Ce 0.000 0.000 3.447
Ce 0.000 0.000 34.956
Ce 0.000 1.789 22.155
Ce 0.000 1.789 29.050
Ce 1.549 0.894 9.354
Ce 1.549 0.894 16.249
Mg 0.000 0.000 19.202
Mg 0.000 1.789 6.401
Mg 1.549 0.894 32.003
```

Summary:
calculated formation energy: 0.169 eV/atom
space group: R-3m (166)
total magnetization: 0.00 μB/f.u.
Fermi-level density of states: 1.73 states/eV per atom

---

Record 2
Entry from Alexandria via LeMat-Bulk: an optimized crystal structure of InNiAg (PBE).

```
3
Lattice="3.055 0.000 0.000 -1.527 2.645 0.000 0.000 0.000 6.495" Properties=species:S:1:pos:R:3 pbc="T T T"
In 0.000 0.000 0.000
Ni 1.527 0.882 1.967
Ag 0.000 1.764 4.018
```

Summary:
polymorph energy (0 for the lowest one): 0.69 eV per formula unit
calculated formation energy: 0.204 eV/atom
space group: P3m1 (156)
total magnetization: 0.00 μB/f.u.
Fermi-level density of states: 0.54 states/eV per atom

---

Record 3
Entry from Alexandria via LeMat-Bulk: an optimized crystal structure of Th2HgPd9 (PBE).

```
12
Lattice="2.712 1.566 8.987 -2.712 1.566 8.987 0.000 -3.132 8.987" Properties=species:S:1:pos:R:3 pbc="T T T"
Th 0.000 0.000 3.557
Th 0.000 0.000 23.403
Hg 0.000 0.000 0.000
Pd -1.374 -0.793 11.294
Pd 0.000 0.000 8.996
Pd 0.000 -1.587 15.666
Pd -1.374 0.793 15.666
Pd 0.000 0.000 13.480
Pd 1.374 -0.793 11.294
Pd 0.000 1.587 11.294
Pd 0.000 0.000 17.964
Pd 1.374 0.793 15.666
```

Summary:
polymorph energy (0 for the lowest one): 2.65 eV per formula unit
calculated formation energy: -0.497 eV/atom
space group: R-3m (166)
total magnetization: 0.00 μB/f.u.
Fermi-level density of states: 0.56 states/eV per atom

---

Record 4
Entry from Alexandria via LeMat-Bulk: an optimized crystal structure of MgMn2Ag (PBE).

```
8
Lattice="4.067 0.000 0.000 0.000 4.088 0.000 0.000 0.000 8.038" Properties=species:S:1:pos:R:3 pbc="T T T"
Mg 0.000 0.000 0.000
Mg 2.033 2.044 4.019
Mn 0.000 0.000 4.018
Mn 0.000 2.044 2.007
Mn 2.033 0.000 6.027
Mn 2.033 2.044 8.037
Ag 0.000 2.044 6.029
Ag 2.033 0.000 2.010
```

Summary:
calculated formation energy: 0.309 eV/atom
space group: Imm2 (44)
total magnetization: 7.47 μB/f.u.
Fermi-level density of states: 0.89 states/eV per atom

---

Record 5
Entry from Alexandria via LeMat-Bulk: an optimized crystal structure of Co2NiI8 (PBE).

```
11
Lattice="6.363 -5.375 0.000 6.363 5.375 0.000 -0.900 0.000 6.682" Properties=species:S:1:pos:R:3 pbc="T T T"
Co 2.271 0.000 0.895
Co 9.556 0.000 5.787
Ni -0.450 0.000 3.341
I 4.558 3.485 4.781
I 1.559 0.000 5.061
I 7.269 3.485 1.901
I 4.643 0.000 1.585
I 7.184 0.000 5.097
I 4.558 -3.485 4.781
I 10.268 0.000 1.621
I 7.269 -3.485 1.901
```

Summary:
space group: C2/m (12)
formation energy from raw total energies: -0.001 eV/atom
total magnetization: 7.91 μB/f.u.
Fermi-level density of states: 0.98 states/eV per atom

---

Record 6
Entry from Alexandria via LeMat-Bulk: an optimized crystal structure of Cs2SbP2S6 (PBE).

```
11
Lattice="6.971 -3.475 0.000 6.971 3.475 0.000 -2.023 0.000 7.082" Properties=species:S:1:pos:R:3 pbc="T T T"
Cs 2.506 0.000 1.449
Cs 9.412 0.000 5.633
Sb -1.011 0.000 3.541
P 5.052 0.000 5.910
P 6.866 0.000 1.173
S 5.717 1.696 1.469
S 6.202 1.696 5.613
S 3.243 0.000 5.085
S 8.676 0.000 1.997
S 5.717 -1.696 1.469
S 6.202 -1.696 5.613
```

Summary:
space group: C2/m (12)
formation energy from raw total energies: -0.569 eV/atom
total magnetization: 0.99 μB/f.u.
Fermi-level density of states: 0.17 states/eV per atom

---

Record 7
Entry from Alexandria via LeMat-Bulk: an optimized crystal structure of CaCe3Sm4Te8 (PBE).

```
16
Lattice="4.470 2.581 7.297 -4.470 2.581 7.297 0.000 -5.161 7.297" Properties=species:S:1:pos:R:3 pbc="T T T"
Ca 0.000 0.000 0.000
Ce -2.235 -1.290 7.297
Ce -2.235 1.290 14.594
Ce 0.000 2.581 7.297
Sm -4.470 0.000 10.945
Sm -2.235 1.290 3.648
Sm 2.235 1.290 3.648
Sm 0.000 0.000 10.945
Te -2.256 -1.302 12.759
Te 0.000 0.000 5.446
Te 0.000 -2.605 9.132
Te -2.256 1.302 9.132
Te 2.256 -1.302 12.759
Te 0.000 2.605 12.759
Te 0.000 0.000 16.444
Te 2.256 1.302 9.132
```

Summary:
space group: R-3m (166)
formation energy from raw total energies: -1.406 eV/atom
total magnetization: 3.65 μB/f.u.
Fermi-level density of states: 1.58 states/eV per atom

---

Record 8
Entry from Alexandria via LeMat-Bulk: an optimized crystal structure of In2PbAu (PBE).

```
16
Lattice="4.414 0.000 0.000 0.000 4.414 0.000 0.000 0.000 21.813" Properties=species:S:1:pos:R:3 pbc="T T T"
In 1.035 1.104 2.727
In 1.104 3.242 8.180
In 1.104 3.379 19.086
In 1.172 1.104 13.633
In 3.242 3.311 13.633
In 3.311 1.035 19.086
In 3.311 1.172 8.180
In 3.379 3.311 2.727
Pb 0.000 0.000 10.906
Pb 0.000 2.207 16.360
Pb 2.207 0.000 5.453
Pb 2.207 2.207 0.000
Au 0.000 0.000 0.000
Au 0.000 2.207 5.453
Au 2.207 0.000 16.360
Au 2.207 2.207 10.906
```

Summary:
calculated formation energy: 0.024 eV/atom
space group: I-42d (122)
total magnetization: 0.00 μB/f.u.
Fermi-level density of states: 0.48 states/eV per atom

---

Record 9
Entry from Alexandria via LeMat-Bulk: an optimized crystal structure of LiOsRh2 (PBE).

```
16
Lattice="6.054 0.000 0.000 0.000 6.054 0.000 0.000 0.000 6.054" Properties=species:S:1:pos:R:3 pbc="T T T"
Li 0.000 0.000 0.000
Li 0.000 3.027 3.027
Li 3.027 0.000 3.027
Li 3.027 3.027 0.000
Os 0.000 0.000 3.027
Os 0.000 3.027 0.000
Os 3.027 0.000 0.000
Os 3.027 3.027 3.027
Rh 1.513 1.513 1.513
Rh 1.513 1.513 4.540
Rh 1.513 4.540 1.513
Rh 1.513 4.540 4.540
Rh 4.540 1.513 1.513
Rh 4.540 1.513 4.540
Rh 4.540 4.540 1.513
Rh 4.540 4.540 4.540
```

Summary:
polymorph energy (0 for the lowest one): 0.74 eV per formula unit
calculated formation energy: 0.172 eV/atom
space group: Fm-3m (225)
total magnetization: 2.02 μB/f.u.
Fermi-level density of states: 1.27 states/eV per atom

---

Record 10
Entry from Alexandria via LeMat-Bulk: an optimized crystal structure of KMo2W (PBE).

```
8
Lattice="8.806 0.000 0.000 0.000 2.654 0.000 -0.175 0.000 7.794" Properties=species:S:1:pos:R:3 pbc="T T T"
K 0.000 0.000 0.000
K 4.403 1.327 0.000
Mo 1.989 0.000 5.175
Mo 2.239 1.327 2.619
Mo 6.392 1.327 5.175
Mo 6.642 0.000 2.619
W -0.087 1.327 3.897
W 4.316 0.000 3.897
```

Summary:
polymorph energy (0 for the lowest one): 1.59 eV per formula unit
calculated formation energy: 1.147 eV/atom
space group: C2/m (12)
total magnetization: 0.00 μB/f.u.
Fermi-level density of states: 1.12 states/eV per atom

---

Record 11
Entry from Alexandria via LeMat-Bulk: an optimized crystal structure of Sm6As2P3Se (PBE).

```
12
Lattice="9.055 -2.075 0.000 9.055 2.075 0.000 -1.929 0.000 8.099" Properties=species:S:1:pos:R:3 pbc="T T T"
Sm -0.431 0.000 1.939
Sm 5.163 0.000 3.398
Sm 4.294 0.000 7.398
Sm 11.887 0.000 0.702
Sm 11.018 0.000 4.701
Sm 16.612 0.000 6.161
As 1.400 0.000 6.735
As 14.781 0.000 1.364
P 2.358 0.000 2.702
P 9.055 0.000 0.000
P 13.823 0.000 5.397
Se 8.091 0.000 4.050
```

Summary:
space group: C2/m (12)
formation energy from raw total energies: -1.647 eV/atom
total magnetization: 0.00 μB/f.u.
Fermi-level density of states: 0.16 states/eV per atom

---

Record 12
Entry from Alexandria via LeMat-Bulk: an optimized crystal structure of Rb2GaPb6 (PBE).

```
9
Lattice="8.522 -5.098 0.000 8.522 5.098 0.000 -0.029 0.000 3.693" Properties=species:S:1:pos:R:3 pbc="T T T"
Rb 2.687 0.000 1.816
Rb 14.329 0.000 1.877
Ga 8.522 0.000 0.000
Pb 5.808 1.582 3.674
Pb 8.508 2.456 1.847
Pb 5.808 -1.582 3.674
Pb 11.207 1.582 0.019
Pb 8.508 -2.456 1.847
Pb 11.207 -1.582 0.019
```

Summary:
calculated formation energy: -0.043 eV/atom
space group: C2/m (12)
total magnetization: 0.00 μB/f.u.
Fermi-level density of states: 0.46 states/eV per atom